1.
# AlMoW2

An optimized crystal structure of AlMoW2 (PBE, Alexandria).

The structure in POSCAR format:
```
AlMoW2
1.0
5.191 0.015 0.000
2.450 4.576 0.000
-3.820 -2.296 2.661
Mo Al W
1 1 2
direct
0.750 0.250 0.500
0.250 0.750 0.500
0.000 0.000 0.000
0.500 0.500 0.000
```

Computed properties:
Total DFT energy (no corrections) in eV/atom: -9.999
SG: I4/mmm (139)
Size of the total moment in μB/f.u.: 0.00
Volume in Å³ per cell: 63

2.
# P5Se4

An optimized crystal structure of P5Se4 (PBE, Alexandria).

The structure in POSCAR format:
```
P5Se4
1.0
7.673 0.000 0.000
-3.837 6.645 0.000
0.000 0.000 6.521
P Se
10 8
direct
0.000 0.745 0.250
0.255 0.255 0.250
0.745 0.000 0.250
0.000 0.255 0.750
0.745 0.745 0.750
0.255 0.000 0.750
0.667 0.333 0.000
0.333 0.667 0.500
0.333 0.667 0.000
0.667 0.333 0.500
0.000 0.000 0.000
0.000 0.000 0.500
0.000 0.395 0.250
0.605 0.605 0.250
0.395 0.000 0.250
0.000 0.605 0.750
0.395 0.395 0.750
0.605 0.000 0.750
```

Computed properties:
Total DFT energy (no corrections) in eV/atom: -3.883
Formation energy from raw total energies in meV per atom: 671
SG: P6_3/mcm (193)
Size of the total moment in μB/f.u.: 0.00
Volume in Å³ per cell: 332

3.
# LiAl8Ag6

An optimized crystal structure of LiAl8Ag6 (PBE, Alexandria).

The structure in POSCAR format:
```
LiAl8Ag6
1.0
2.784 0.000 0.000
0.000 10.613 0.000
0.000 -5.307 9.191
Li Al Ag
1 8 6
direct
0.500 0.000 0.000
0.782 0.727 0.937
0.782 0.063 0.790
0.782 0.210 0.273
0.218 0.273 0.063
0.218 0.937 0.210
0.218 0.790 0.727
0.774 0.667 0.333
0.226 0.333 0.667
0.730 0.538 0.637
0.730 0.363 0.901
0.730 0.099 0.462
0.270 0.462 0.363
0.270 0.637 0.099
0.270 0.901 0.538
```

Computed properties:
Total DFT energy (no corrections) in eV/atom: -3.195
SG: P-3 (147)
Size of the total moment in μB/f.u.: 0.00
Volume in Å³ per cell: 272

4.
# RbNa2In

An optimized crystal structure of RbNa2In (PBE, Alexandria).

The structure in POSCAR format:
```
RbNa2In
1.0
-5.321 -0.208 0.869
0.301 -5.357 0.561
-0.644 -1.448 12.464
Na Rb In
4 2 2
direct
0.701 0.125 0.250
0.049 0.625 0.250
0.375 0.299 0.750
0.875 0.951 0.750
0.500 0.500 0.000
0.250 0.750 0.500
0.000 0.000 0.000
0.750 0.250 0.500
```

Computed properties:
Total DFT energy (no corrections) in eV/atom: -1.458
SG: I-42d (122)
Size of the total moment in μB/f.u.: 0.00
Volume in Å³ per cell: 348

Q: Which of these has the lowest total DFT energy (no corrections)?
A: AlMoW2